Record 1
A plane-wave DFT calculation with PBE-GGA was carried out for a relaxed BeAg2Sb crystal.

Output
Uncorrected formation energy ... 160.6 kJ/mol of formula units
DOS(E_F) ... 7.0 states/eV/cell

The structure in CIF format:
```
data_BeAg2Sb
_chemical_formula_sum 'Be4 Ag8 Sb4'
_cell_length_a 6.6701
_cell_length_b 6.6701
_cell_length_c 6.6701
_cell_angle_alpha 90.00
_cell_angle_beta 90.00
_cell_angle_gamma 90.00
_space_group_name_H-M_alt 'F -4 3 m'
_space_group_IT_number 216
_space_group_name_Hall 'F -4 2 3'
loop_
_atom_site_label
_atom_site_type_symbol
_atom_site_fract_x
_atom_site_fract_y
_atom_site_fract_z
_atom_site_occupancy
Be1 Be 0.0000 0.0000 0.0000 1
Ag1 Ag 0.0000 0.0000 0.5000 1
Ag2 Ag 0.2500 0.2500 0.2500 1
Sb1 Sb 0.2500 0.2500 0.7500 1
```

=====

Record 2
A plane-wave DFT calculation with PBE-GGA was carried out for a relaxed BeAg2Sb crystal.

Output
Uncorrected formation energy ... 136.8 kJ/mol of formula units
DOS(E_F) ... 5.5 states/eV/cell

The structure in CIF format:
```
data_BeAg2Sb
_chemical_formula_sum 'Be4 Ag8 Sb4'
_cell_length_a 4.0892
_cell_length_b 4.0892
_cell_length_c 18.4092
_cell_angle_alpha 90.00
_cell_angle_beta 90.00
_cell_angle_gamma 90.00
_space_group_name_H-M_alt 'I -4 2 d'
_space_group_IT_number 122
_space_group_name_Hall 'I -4 2bw'
loop_
_atom_site_label
_atom_site_type_symbol
_atom_site_fract_x
_atom_site_fract_y
_atom_site_fract_z
_atom_site_occupancy
Be1 Be 0.0000 0.0000 0.0000 1
Ag1 Ag 0.2281 0.2500 0.1250 1
Sb1 Sb 0.0000 0.0000 0.5000 1
```

=====

Record 3
A plane-wave DFT calculation with PBE-GGA was carried out for a relaxed BeAg2Sb crystal.

Output
Uncorrected formation energy ... 124.1 kJ/mol of formula units
DOS(E_F) ... 1.4 states/eV/cell

The structure in CIF format:
```
data_BeAg2Sb
_chemical_formula_sum 'Be1 Ag2 Sb1'
_cell_length_a 3.2984
_cell_length_b 4.2360
_cell_length_c 5.4999
_cell_angle_alpha 90.00
_cell_angle_beta 106.97
_cell_angle_gamma 90.00
_space_group_name_H-M_alt 'P 1 2/m 1'
_space_group_IT_number 10
loop_
_space_group_symop_operation_xyz
'x,y,z'
'-x,-y,-z'
'-x,y,-z'
'x,-y,z'
loop_
_atom_site_label
_atom_site_type_symbol
_atom_site_fract_x
_atom_site_fract_y
_atom_site_fract_z
_atom_site_occupancy
Be1 Be 0.0000 0.0000 0.0000 1
Ag1 Ag 0.3540 0.5000 0.2164 1
Sb1 Sb 0.0000 0.0000 0.5000 1
```

=====

Record 4
A plane-wave DFT calculation with PBE-GGA was carried out for a relaxed BeAg2SbSe4 crystal.

Output
Uncorrected formation energy ... -183.2 kJ/mol of formula units
DOS(E_F) ... 10.0 states/eV/cell

The structure in CIF format:
```
data_BeAg2SbSe4
_chemical_formula_sum 'Be2 Ag4 Sb2 Se8'
_cell_length_a 6.0330
_cell_length_b 6.0330
_cell_length_c 11.3640
_cell_angle_alpha 90.00
_cell_angle_beta 90.00
_cell_angle_gamma 90.00
_space_group_name_H-M_alt 'I -4'
_space_group_IT_number 82
loop_
_space_group_symop_operation_xyz
'x,y,z'
'y,-x,-z'
'-x,-y,z'
'-y,x,-z'
'x+1/2,y+1/2,z+1/2'
'y+1/2,-x+1/2,-z+1/2'
'-x+1/2,-y+1/2,z+1/2'
'-y+1/2,x+1/2,-z+1/2'
loop_
_atom_site_label
_atom_site_type_symbol
_atom_site_fract_x
_atom_site_fract_y
_atom_site_fract_z
_atom_site_occupancy
Be1 Be 0.0000 0.0000 0.0000 1
Ag1 Ag 0.0000 0.0000 0.5000 1
Ag2 Ag 0.0000 0.5000 0.7500 1
Sb1 Sb 0.0000 0.5000 0.2500 1
Se1 Se 0.2169 0.2246 0.8911 1
```